No. 1
! MgMn2Co | the Alexandria database | PBE-GGA | relaxed; values from VASP
! Crystal system: cubic
! Offset from the most stable computed form in eV per atom: 0.065
! Energy of formation in eV per formula unit: 0.8
&SYSTEM
  ibrav = 0, nat = 4, ntyp = 3
/
ATOMIC_SPECIES
Mg 24.30 Mg.upf
Mn 54.94 Mn.upf
Co 58.93 Co.upf
CELL_PARAMETERS angstrom
0.0000 3.0160 3.0160
3.0160 0.0000 3.0160
3.0160 3.0160 0.0000
ATOMIC_POSITIONS crystal
Mg 0.0000 0.0000 0.0000
Mn 0.2500 0.2500 0.2500
Mn 0.7500 0.7500 0.7500
Co 0.5000 0.5000 0.5000

=====

No. 2
! CdIr2Ru2 | the Alexandria database | PBE-GGA | relaxed; values from VASP
! Crystal system: tetragonal
! Offset from the most stable computed form in eV per atom: 0.013
! Energy of formation in eV per formula unit: 1.2
&SYSTEM
  ibrav = 0, nat = 10, ntyp = 3
/
ATOMIC_SPECIES
Cd 112.41 Cd.upf
Ir 192.22 Ir.upf
Ru 101.07 Ru.upf
CELL_PARAMETERS angstrom
7.6082 0.0000 0.0000
0.0000 7.6082 0.0000
0.0000 0.0000 2.7659
ATOMIC_POSITIONS crystal
Cd 0.0000 0.0000 0.0000
Cd 0.5000 0.5000 0.0000
Ir 0.1721 0.3279 0.5000
Ir 0.3279 0.8279 0.5000
Ir 0.6721 0.1721 0.5000
Ir 0.8279 0.6721 0.5000
Ru 0.1218 0.6218 0.0000
Ru 0.3782 0.1218 0.0000
Ru 0.6218 0.8782 0.0000
Ru 0.8782 0.3782 0.0000

=====

No. 3
! LiTm3Pb3 | the Alexandria database | PBE-GGA | relaxed; values from VASP
! Crystal system: monoclinic
! Energy of formation in eV per formula unit: -2.8
&SYSTEM
  ibrav = 0, nat = 14, ntyp = 3
/
ATOMIC_SPECIES
Li 6.94 Li.upf
Tm 168.93 Tm.upf
Pb 207.20 Pb.upf
CELL_PARAMETERS angstrom
5.7718 -2.2873 0.0000
5.7718 2.2873 0.0000
-4.1781 0.0000 13.9668
ATOMIC_POSITIONS crystal
Li 0.2369 0.2369 0.3913
Li 0.7631 0.7631 0.6087
Tm 0.2605 0.2605 0.7783
Tm 0.4178 0.4178 0.0867
Tm 0.4621 0.4621 0.6108
Tm 0.5379 0.5379 0.3892
Tm 0.5822 0.5822 0.9133
Tm 0.7395 0.7395 0.2217
Pb 0.0234 0.0234 0.2392
Pb 0.1435 0.1435 0.0701
Pb 0.1452 0.1452 0.5544
Pb 0.8548 0.8548 0.4456
Pb 0.8565 0.8565 0.9299
Pb 0.9766 0.9766 0.7608

=====

No. 4
! PrEuGeAu | the Alexandria database | PBE-GGA | relaxed; values from VASP
! Crystal system: cubic
! Energy of formation in eV per formula unit: -2.9
&SYSTEM
  ibrav = 0, nat = 4, ntyp = 4
/
ATOMIC_SPECIES
Pr 140.91 Pr.upf
Eu 151.96 Eu.upf
Ge 72.64 Ge.upf
Au 196.97 Au.upf
CELL_PARAMETERS angstrom
0.0000 3.7400 3.7400
3.7400 0.0000 3.7400
3.7400 3.7400 0.0000
ATOMIC_POSITIONS crystal
Pr 0.0000 0.0000 0.0000
Eu 0.5000 0.5000 0.5000
Ge 0.7500 0.7500 0.7500
Au 0.2500 0.2500 0.2500

=====

No. 5
! Na3Th3NiSe8 | the Alexandria database | PBE-GGA | relaxed; values from VASP
! Crystal system: monoclinic
! E_tot in Ha/atom: -0.1942
&SYSTEM
  ibrav = 0, nat = 15, ntyp = 4
/
ATOMIC_SPECIES
Na 22.99 Na.upf
Th 232.04 Th.upf
Ni 58.69 Ni.upf
Se 78.96 Se.upf
CELL_PARAMETERS angstrom
7.1757 -4.2039 0.0000
7.1757 4.2039 0.0000
-4.7660 0.0000 7.0564
ATOMIC_POSITIONS crystal
Na 0.0000 0.0000 0.0000
Na 0.0000 0.5000 0.0000
Na 0.5000 0.0000 0.0000
Th 0.0000 0.5000 0.5000
Th 0.5000 0.0000 0.5000
Th 0.5000 0.5000 0.5000
Ni 0.0000 0.0000 0.5000
Se 0.2192 0.2192 0.7064
Se 0.2390 0.7463 0.7232
Se 0.2509 0.2509 0.2550
Se 0.2537 0.7610 0.2768
Se 0.7463 0.2390 0.7232
Se 0.7491 0.7491 0.7450
Se 0.7610 0.2537 0.2768
Se 0.7808 0.7808 0.2936

=====

No. 6
! MgInSb2 | the Alexandria database | PBE-GGA | relaxed; values from VASP
! Crystal system: orthorhombic
! Offset from the most stable computed form in eV per atom: 0.120
&SYSTEM
  ibrav = 0, nat = 4, ntyp = 3
/
ATOMIC_SPECIES
Mg 24.30 Mg.upf
In 114.82 In.upf
Sb 121.76 Sb.upf
CELL_PARAMETERS angstrom
2.0703 -2.5133 0.0000
2.0703 2.5133 0.0000
0.0000 0.0000 10.0281
ATOMIC_POSITIONS crystal
Mg 0.0000 0.0000 0.0000
In 0.5000 0.5000 0.2345
Sb 0.0000 0.0000 0.4772
Sb 0.5000 0.5000 0.7850

=====

Q: Which formula does entry 5 have?
A: Na3Th3NiSe8